No. 1
Ce2PuAs (PBE-GGA, relaxed); relative energy among the computed polymorphs = 0.3405 eV per atom
1.0
1.832 1.058 7.208
-1.832 1.058 7.208
0.000 -2.115 7.208
Ce Pu As
2 1 1
Direct
0.240 0.240 0.240
0.760 0.760 0.760
0.500 0.500 0.500
0.000 0.000 0.000

No. 2
Ce2PuAs (PBE-GGA, relaxed); relative energy among the computed polymorphs = 0.0000 eV per atom
1.0
4.615 0.000 0.000
0.000 4.615 0.000
0.000 0.000 4.411
Ce Pu As
2 1 1
Direct
0.000 0.500 0.000
0.500 0.000 0.000
0.000 0.000 0.500
0.500 0.500 0.500

No. 3
A plane-wave DFT calculation with PBE-GGA was carried out for a relaxed Ce8PuAs2 crystal.

POSCAR file:
```
Ce8PuAs2
1.0
4.066 -6.476 0.000
4.066 6.476 0.000
-2.462 0.000 5.350
Ce Pu As
8 1 2
Direct
0.093 0.295 0.600
0.200 0.800 0.000
0.295 0.093 0.600
0.350 0.350 0.175
0.650 0.650 0.825
0.705 0.907 0.400
0.800 0.200 0.000
0.907 0.705 0.400
0.000 0.000 0.000
0.305 0.695 0.500
0.695 0.305 0.500
```

No. 4
A plane-wave DFT calculation with PBE-GGA was carried out for a relaxed CePu3As4 crystal.

POSCAR file:
```
CePu3As4
1.0
5.891 0.000 0.000
0.000 5.891 0.000
0.000 0.000 5.891
Ce Pu As
1 3 4
Direct
0.000 0.000 0.000
0.000 0.500 0.500
0.500 0.000 0.500
0.500 0.500 0.000
0.000 0.000 0.500
0.000 0.500 0.000
0.500 0.000 0.000
0.500 0.500 0.500
```

No. 5
A plane-wave DFT calculation with PBE-GGA was carried out for a relaxed CePu4As5 crystal.

POSCAR file:
```
CePu4As5
1.0
6.890 -2.083 0.000
6.890 2.083 0.000
-5.003 0.000 8.865
Ce Pu As
1 4 5
Direct
0.000 0.000 0.000
0.200 0.200 0.798
0.401 0.401 0.600
0.599 0.599 0.400
0.800 0.800 0.202
0.000 0.000 0.500
0.201 0.201 0.303
0.398 0.398 0.101
0.602 0.602 0.899
0.799 0.799 0.697
```

No. 6
A plane-wave DFT calculation with PBE-GGA was carried out for a relaxed Ce5Pu3As8 crystal.

POSCAR file:
```
Ce5Pu3As8
1.0
4.196 2.422 6.828
-4.196 2.422 6.828
0.000 -4.845 6.828
Ce Pu As
5 3 8
Direct
0.000 0.000 0.000
0.000 0.500 0.500
0.500 0.000 0.500
0.500 0.500 0.000
0.500 0.500 0.500
0.000 0.000 0.500
0.000 0.500 0.000
0.500 0.000 0.000
0.247 0.750 0.750
0.248 0.248 0.248
0.250 0.250 0.753
0.250 0.753 0.250
0.750 0.247 0.750
0.750 0.750 0.247
0.752 0.752 0.752
0.753 0.250 0.250
```

Asked for calculated total energy across the records above, the calculation gives -0.5845 -0.6095 -0.5064 -0.7027 -0.7170 -0.5988 Ry/atom in order.
Asked for DOS(E_F) across the records above, the calculation gives 0.871 2.003 2.196 4.177 4.095 2.925 states/eV/atom in order.